Record 1
This record from Alexandria via LeMat-Bulk describes a relaxed structure of NaNiBr. The functional is PBE-GGA.

Total energy: -3.320 eV/atom
Energy relative to the lowest polymorph listed for this composition: 0.003 eV/atom

Unit cell a=3.913 b=3.913 c=10.501 alpha=90.01 beta=90.01 gamma=60.09
Fractional coordinates of all 6 atoms:
Na1 0.000 0.000 0.000
Na2 0.001 0.001 0.642
Ni1 0.333 0.333 0.203
Ni2 0.667 0.667 0.249
Br1 0.334 0.334 0.821
Br2 0.667 0.667 0.473

=====

Record 2
This record from Alexandria via LeMat-Bulk describes a relaxed structure of Na3NiBr. The functional is PBE-GGA.

Total energy: -2.289 eV/atom
Energy relative to the lowest polymorph listed for this composition: 0.000 eV/atom

Unit cell a=5.341 b=5.341 c=5.341 alpha=90.00 beta=90.00 gamma=90.00
Fractional coordinates of all 5 atoms:
Na1 0.000 0.000 0.500
Na2 0.000 0.500 0.000
Na3 0.500 0.000 0.000
Ni1 0.000 0.000 0.000
Br1 0.500 0.500 0.500

=====

Record 3
This record from Alexandria via LeMat-Bulk describes a relaxed structure of Na2NiBr4. The functional is PBE-GGA.

Total energy: -3.069 eV/atom
Energy relative to the lowest polymorph listed for this composition: 0.044 eV/atom

Unit cell a=8.156 b=8.156 c=8.156 alpha=143.76 beta=143.76 gamma=52.19
Fractional coordinates of all 7 atoms:
Na1 0.132 0.132 0.000
Na2 0.868 0.868 0.000
Ni1 0.500 0.500 0.000
Br1 0.000 0.500 0.500
Br2 0.333 0.333 0.000
Br3 0.500 0.000 0.500
Br4 0.667 0.667 0.000

=====

Record 4
This record from Alexandria via LeMat-Bulk describes a relaxed structure of NaNiBr. The functional is PBE-GGA.

Total energy: -3.251 eV/atom
Energy relative to the lowest polymorph listed for this composition: 0.072 eV/atom

Unit cell a=3.543 b=5.541 c=7.842 alpha=75.48 beta=78.12 gamma=71.50
Fractional coordinates of all 6 atoms:
Na1 0.000 0.000 0.000
Na2 0.469 0.703 0.391
Ni1 0.255 0.321 0.184
Ni2 0.742 0.163 0.384
Br1 0.158 0.136 0.597
Br2 0.723 0.553 0.999

=====

E_form (uncorrected) readings, ordered: -0.40; -0.01; -0.91; -0.33 eV per atom
Ρ readings, ordered: 3.85; 2.26; 3.74; 3.83 g cm⁻³